{"formula": "Er4OsAu", "functional": "GGA-PBE", "state": "relaxed", "lattice": [[-2.4982, -0.7000, 5.6157], [5.0690, -5.4509, 0.4221], [2.9594, 6.7685, 1.0069]], "species": ["Au", "Er", "Er", "Er", "Os", "Er", "Er", "Er", "Er", "Au", "Os", "Er"], "frac_coords": [[0.2500, 0.3710, 0.6290], [0.5796, 0.2179, 0.3676], [0.4204, 0.7821, 0.6324], [0.9204, 0.6324, 0.7821], [0.7500, 0.0007, 0.9993], [0.0796, 0.3676, 0.2179], [0.9627, 0.0702, 0.7232], [0.5373, 0.2768, 0.9298], [0.4627, 0.7232, 0.0702], [0.7500, 0.6290, 0.3710], [0.2500, 0.9993, 0.0007], [0.0373, 0.9298, 0.2768]], "relative_energy_ev_per_atom": 0.0000, "ef_mev_per_atom": -490.8}

***

{"formula": "HfTh2GaN5", "functional": "GGA-PBE", "state": "relaxed", "lattice": [[-1.8514, 2.8273, 0.1783], [0.2201, -2.3107, 6.8091], [8.5733, 5.5135, 1.5940]], "species": ["Th", "N", "Hf", "N", "N", "N", "N", "N", "Th", "N", "N", "Hf", "N", "Th", "Ga", "N", "Ga", "Th"], "frac_coords": [[0.8825, 0.7649, 0.1939], [0.6978, 0.3955, 0.8634], [0.2096, 0.4193, 0.0017], [0.6368, 0.2735, 0.5091], [0.5022, 0.0044, 0.2854], [0.0532, 0.1064, 0.0526], [0.3632, 0.7265, 0.0091], [0.9468, 0.8936, 0.5526], [0.1175, 0.2351, 0.6939], [0.7118, 0.4237, 0.1497], [0.4978, 0.9956, 0.7854], [0.7904, 0.5807, 0.5017], [0.2882, 0.5763, 0.6497], [0.1311, 0.2623, 0.2921], [0.5152, 0.0303, 0.9761], [0.3022, 0.6045, 0.3634], [0.4848, 0.9697, 0.4761], [0.8689, 0.7377, 0.7921]]}

***

{"formula": "HgTe2PdAu", "functional": "GGA-PBE", "state": "relaxed", "lattice": [[5.1307, 0.0000, 0.0000], [0.0000, 5.9374, 0.0000], [0.0000, -2.9687, 8.8924]], "species": ["Te", "Au", "Hg", "Au", "Pd", "Te", "Te", "Pd", "Hg", "Te"], "frac_coords": [[0.3509, 0.1184, 0.2368], [0.0000, 0.5000, 0.0000], [0.1586, 0.7500, 0.5000], [0.0000, 0.0000, 0.0000], [0.5000, 0.7500, 0.0000], [0.6491, 0.8816, 0.7632], [0.6491, 0.6184, 0.2368], [0.5000, 0.2500, 0.0000], [0.8414, 0.2500, 0.5000], [0.3509, 0.3816, 0.7632]]}

***

For reference, energy by record: -5.95; -9.03; -3.10 eV/atom.